(1)
The following is a DFT calculation (PBE) of a relaxed Hf2RhC crystal. Values from VASP.

Summary:
Formation energy in eV per atom: -0.254
Space group: I-42d (122)
Size of the total moment in Bohr magnetons per cell: 0.00
DOS(E_F) in states/eV/atom: 0.3663
VASP energy in eV per cell: -150.00

Quantum ESPRESSO input file:
```
&SYSTEM
  ibrav = 0, nat = 16, ntyp = 3
/
ATOMIC_SPECIES
Hf 178.49 Hf.upf
Rh 102.91 Rh.upf
C 12.01 C.upf
ATOMIC_POSITIONS angstrom
Hf 1.202 1.570 0.877
Hf 1.570 4.342 2.630
Hf 1.570 5.076 6.137
Hf 1.937 1.570 4.384
Hf 4.342 4.709 4.384
Hf 4.709 1.202 6.137
Hf 4.709 1.937 2.630
Hf 5.076 4.709 0.877
Rh 0.000 0.000 3.507
Rh 0.000 3.139 5.260
Rh 3.139 0.000 1.753
Rh 3.139 3.139 0.000
C 0.000 0.000 0.000
C 0.000 3.139 1.753
C 3.139 0.000 5.260
C 3.139 3.139 3.507
CELL_PARAMETERS angstrom
6.278 0.000 0.000
0.000 6.278 0.000
0.000 0.000 7.014
```


(2)
The following is a DFT calculation (PBE) of a relaxed HgPd2Pb crystal. Values from VASP.

Summary:
Formation energy in eV per atom: -0.147
Space group: P4/mmm (123)
Size of the total moment in Bohr magnetons per cell: 0.00
DOS(E_F) in states/eV/atom: 0.4347
VASP energy in eV per cell: -14.98

Quantum ESPRESSO input file:
```
&SYSTEM
  ibrav = 0, nat = 4, ntyp = 3
/
ATOMIC_SPECIES
Hg 200.59 Hg.upf
Pd 106.42 Pd.upf
Pb 207.20 Pb.upf
ATOMIC_POSITIONS angstrom
Hg 0.000 0.000 0.000
Pd 0.000 2.369 1.728
Pd 2.369 0.000 1.728
Pb 2.369 2.369 0.000
CELL_PARAMETERS angstrom
4.738 0.000 0.000
0.000 4.738 0.000
0.000 0.000 3.456
```


(3)
The following is a DFT calculation (PBE) of a relaxed Nd6SiP2Br3 crystal. Values from VASP.

Summary:
Space group: C2/m (12)
Size of the total moment in Bohr magnetons per cell: 0.00
ΔE_f (raw) in meV/atom: -1366.6
DOS(E_F) in states/eV/atom: 0.4270
VASP energy in eV per cell: -66.27

Quantum ESPRESSO input file:
```
&SYSTEM
  ibrav = 0, nat = 12, ntyp = 4
/
ATOMIC_SPECIES
Nd 144.24 Nd.upf
Si 28.09 Si.upf
P 30.97 P.upf
Br 79.90 Br.upf
ATOMIC_POSITIONS angstrom
Nd -0.371 0.000 1.927
Nd 5.002 0.000 3.749
Nd 4.241 0.000 7.492
Nd 12.246 0.000 0.932
Nd 11.486 0.000 4.675
Nd 16.858 0.000 6.498
Si 9.534 0.000 0.000
P 2.335 0.000 2.812
P 14.152 0.000 5.613
Br 1.016 0.000 7.006
Br 8.244 0.000 4.212
Br 15.471 0.000 1.419
CELL_PARAMETERS angstrom
9.534 -2.096 0.000
9.534 2.096 0.000
-2.580 0.000 8.425
```